A crystal of Nb2Sn2Hg relaxed with PBEsol, computed with meta-GGA SCAN.

Output
Calculated formation energy in kcal/mol of atoms: 9.2
Space group: No. 139
VASP energy in eV per atom: -40.8531

abc: 3.9292 3.9292 7.7060
angles: 104.77 104.77 90.00
Sites, in units of the cell vectors:
Nb (0.7500, 0.2500, 0.5000)
Nb (0.2500, 0.7500, 0.5000)
Hg (0.0000, 0.0000, 0.0000)
Sn (0.3997, 0.3997, 0.7994)
Sn (0.6003, 0.6003, 0.2006)



A crystal of Nb3SnHg relaxed with PBEsol, computed with meta-GGA SCAN.

Output
Calculated formation energy in kcal/mol of atoms: 36.4
Space group: No. 221
VASP energy in eV per atom: -39.1155

abc: 4.9819 4.9819 4.9819
angles: 90.00 90.00 90.00
Sites, in units of the cell vectors:
Nb (0.5000, 0.0000, 0.0000)
Nb (0.0000, 0.0000, 0.5000)
Nb (0.0000, 0.5000, 0.0000)
Hg (0.5000, 0.5000, 0.5000)
Sn (0.0000, 0.0000, 0.0000)



A crystal of SrNb3Hg relaxed with PBEsol, computed with meta-GGA SCAN.

Output
Calculated formation energy in kcal/mol of atoms: 35.3
Space group: No. 221
VASP energy in eV per atom: -36.4337

abc: 5.1490 5.1490 5.1490
angles: 90.00 90.00 90.00
Sites, in units of the cell vectors:
Nb (0.0000, 0.0000, 0.5000)
Nb (0.5000, 0.0000, 0.0000)
Nb (0.0000, 0.5000, 0.0000)
Hg (0.0000, 0.0000, 0.0000)
Sr (0.5000, 0.5000, 0.5000)



A crystal of Sr3NbHg relaxed with PBEsol, computed with meta-GGA SCAN.

Output
Calculated formation energy in kcal/mol of atoms: 18.5
Space group: No. 221
VASP energy in eV per atom: -32.8235

abc: 5.7438 5.7438 5.7438
angles: 90.00 90.00 90.00
Sites, in units of the cell vectors:
Sr (0.0000, 0.5000, 0.0000)
Sr (0.5000, 0.0000, 0.0000)
Sr (0.0000, 0.0000, 0.5000)
Nb (0.0000, 0.0000, 0.0000)
Hg (0.5000, 0.5000, 0.5000)



A crystal of TaNb3Hg relaxed with PBEsol, computed with meta-GGA SCAN.

Output
Calculated formation energy in kcal/mol of atoms: 30.6
Space group: No. 221
VASP energy in eV per atom: -45.5005

abc: 4.8460 4.8460 4.8460
angles: 90.00 90.00 90.00
Sites, in units of the cell vectors:
Nb (0.0000, 0.5000, 0.0000)
Nb (0.5000, 0.0000, 0.0000)
Nb (0.0000, 0.0000, 0.5000)
Hg (0.5000, 0.5000, 0.5000)
Ta (0.0000, 0.0000, 0.0000)



A crystal of Nb3TlHg relaxed with PBEsol, computed with meta-GGA SCAN.

Output
Calculated formation energy in kcal/mol of atoms: 38.6
Excess energy over the best structure of this formula in the dataset in eV per atom: 0.000
Space group: No. 221
VASP energy in eV per atom: -46.3085

abc: 5.0028 5.0028 5.0028
angles: 90.00 90.00 90.00
Sites, in units of the cell vectors:
Tl (0.5000, 0.5000, 0.5000)
Nb (0.0000, 0.0000, 0.5000)
Nb (0.0000, 0.5000, 0.0000)
Nb (0.5000, 0.0000, 0.0000)
Hg (0.0000, 0.0000, 0.0000)



Q: VASP energy of number 6 (Nb3TlHg)?
A: -46.3085 eV per atom